A geometry-optimized ZnCr2Ir structure, computed with PBE-GGA.

The calculation puts the energy of formation at 0.01 eV per atom. As for the total magnetization: 0.034 μB/atom.

The structure belongs to space group Imm2 (No. 44); the cell edges are 2.920, 4.355 and 8.357 Å and the angles 90.00°, 90.00° and 90.00°. The inequivalent atoms are Zn at (0.000, 0.000, 0.000), Cr at (0.000, 0.000, 0.475), Cr at (0.000, 0.500, 0.764) and Ir at (0.000, 0.500, 0.232).